[1]
## AgPdPt2 (PBE)

Data for AgPdPt2 after structural relaxation.

Geometry as CIF:
```
data_AgPdPt2
_chemical_formula_sum 'Ag4 Pd4 Pt8'
_cell_length_a 6.350
_cell_length_b 6.350
_cell_length_c 6.350
_cell_angle_alpha 90.00
_cell_angle_beta 90.00
_cell_angle_gamma 90.00
_symmetry_space_group_name_H-M 'F -4 3 m'
_symmetry_Int_Tables_number 216
_symmetry_space_group_name_Hall 'F -4 2 3'
loop_
_atom_site_label
_atom_site_type_symbol
_atom_site_fract_x
_atom_site_fract_y
_atom_site_fract_z
_atom_site_occupancy
Ag1 Ag 0.000 0.000 0.000 1
Pd1 Pd 0.250 0.250 0.750 1
Pt1 Pt 0.000 0.000 0.500 1
Pt2 Pt 0.250 0.250 0.250 1
```

## Properties
The calculation puts the total magnetization at 0.0 μB per cell. The value obtained for the total energy is -4.93 eV/atom. Its energy of formation is 0.38 eV/f.u.

=====

[2]
## RbAgPd (PBE)

Data for RbAgPd after structural relaxation.

Geometry as CIF:
```
data_RbAgPd
_chemical_formula_sum 'Rb4 Ag4 Pd4'
_cell_length_a 7.028
_cell_length_b 7.028
_cell_length_c 7.028
_cell_angle_alpha 90.00
_cell_angle_beta 90.00
_cell_angle_gamma 90.00
_symmetry_space_group_name_H-M 'F -4 3 m'
_symmetry_Int_Tables_number 216
_symmetry_space_group_name_Hall 'F -4 2 3'
loop_
_atom_site_label
_atom_site_type_symbol
_atom_site_fract_x
_atom_site_fract_y
_atom_site_fract_z
_atom_site_occupancy
Rb1 Rb 0.000 0.000 0.000 1
Ag1 Ag 0.000 0.000 0.500 1
Pd1 Pd 0.250 0.250 0.750 1
```

## Properties
Its energy relative to the lowest polymorph listed for this composition is 0 meV per atom. The value obtained for the total energy is -2.58 eV/atom.

=====

[3]
## Rb3Ag2Pd3 (PBE)

Data for Rb3Ag2Pd3 after structural relaxation.

Geometry as CIF:
```
data_Rb3Ag2Pd3
_chemical_formula_sum 'Rb3 Ag2 Pd3'
_cell_length_a 4.318
_cell_length_b 4.318
_cell_length_c 14.633
_cell_angle_alpha 90.00
_cell_angle_beta 90.00
_cell_angle_gamma 90.00
_symmetry_space_group_name_H-M 'P -4 m 2'
_symmetry_Int_Tables_number 115
loop_
_symmetry_equiv_pos_as_xyz
'x,y,z'
'y,-x,-z'
'-x,-y,z'
'-y,x,-z'
'-x,y,z'
'-y,-x,-z'
'x,-y,z'
'y,x,-z'
loop_
_atom_site_label
_atom_site_type_symbol
_atom_site_fract_x
_atom_site_fract_y
_atom_site_fract_z
_atom_site_occupancy
Rb1 Rb 0.000 0.000 0.000 1
Rb2 Rb 0.000 0.000 0.231 1
Ag1 Ag 0.000 0.500 0.609 1
Pd1 Pd 0.000 0.000 0.500 1
Pd2 Pd 0.500 0.500 0.000 1
Pd3 Pd 0.500 0.500 0.500 1
```

## Properties
The value obtained for the total energy is -2.59 eV/atom.